Entry 1:
Compound: YTa3Sb
Source: the Alexandria database
Functional: PBEsol
Structure: optimized geometry

Structure (POSCAR):
```
YTa3Sb
1.0
4.8878 0.0000 0.0000
0.0000 4.8878 0.0000
0.0000 0.0000 4.8878
Y Ta Sb
1 3 1
Direct
0.0000 0.0000 0.0000
0.0000 0.0000 0.5000
0.0000 0.5000 0.0000
0.5000 0.0000 0.0000
0.5000 0.5000 0.5000
```

Results
- electronic total energy (eV per cell) = -38.03
- space group = Pm-3m (221)
- formation energy from raw total energies (kJ/mol of atoms) = 212
- theoretical density (g cm⁻³) = 10.715
- crystal system = cubic

Entry 2:
Compound: Y3TaSb
Source: the Alexandria database
Functional: PBEsol
Structure: optimized geometry

Structure (POSCAR):
```
Y3TaSb
1.0
5.5156 0.0000 0.0000
0.0000 5.5156 0.0000
0.0000 0.0000 5.5156
Y Ta Sb
3 1 1
Direct
0.0000 0.0000 0.5000
0.0000 0.5000 0.0000
0.5000 0.0000 0.0000
0.5000 0.5000 0.5000
0.0000 0.0000 0.0000
```

Results
- electronic total energy (eV per cell) = -33.43
- space group = Pm-3m (221)
- formation energy from raw total energies (kJ/mol of atoms) = 80
- theoretical density (g cm⁻³) = 5.635
- crystal system = cubic

Entry 3:
Compound: TaZnSb
Source: the Alexandria database
Functional: PBEsol
Structure: optimized geometry

Structure (POSCAR):
```
TaZnSb
1.0
3.4524 0.0000 0.0000
0.0000 3.4524 0.0000
0.0000 0.0000 9.0208
Ta Zn Sb
2 2 2
Direct
0.0000 0.0000 0.0000
0.5000 0.5000 0.5000
0.0000 0.0000 0.6568
0.5000 0.5000 0.1568
0.0000 0.0000 0.3305
0.5000 0.5000 0.8305
```

Results
- electronic total energy (eV per cell) = -36.65
- space group = I4mm (107)
- formation energy from raw total energies (kJ/mol of atoms) = 12
- theoretical density (g cm⁻³) = 11.371
- crystal system = tetragonal